## A
First-principles (PBE) data for crystalline DyCu2Ag at its relaxed geometry, as listed in the Alexandria database.

Calculated values
The value obtained for the density of states at the Fermi level is 0.529 states/eV/atom. Its density is 9.32 g/cm3.

Cell lengths 4.644, 4.644, 4.644 Å; angles 60.00, 60.00, 60.00 degrees
Fractional coordinates of all 4 atoms:
Cu (0.250, 0.250, 0.250)
Cu (0.750, 0.750, 0.750)
Ag (0.500, 0.500, 0.500)
Dy (0.000, 0.000, 0.000)

## B
First-principles (PBE) data for crystalline DyCu2Ag at its relaxed geometry, as listed in the Alexandria database.

Calculated values
The value obtained for the density of states at the Fermi level is 0.284 states/eV/atom. Its density is 9.24 g/cm3.

Cell lengths 3.386, 3.386, 6.233 Å; angles 90.00, 90.00, 90.00 degrees
Fractional coordinates of all 4 atoms:
Cu (0.000, 0.000, 0.787)
Cu (0.000, 0.000, 0.213)
Ag (0.500, 0.500, 0.000)
Dy (0.500, 0.500, 0.500)

Most stable: A. Least stable: B.

## A
First-principles (PBE) data for crystalline Dy3CuAg at its relaxed geometry, as listed in the Alexandria database.

Calculated values
The value obtained for the density of states at the Fermi level is 0.796 states/eV/atom. Its density is 8.93 g/cm3.

Cell lengths 5.019, 5.023, 10.041 Å; angles 90.00, 75.53, 90.00 degrees
Fractional coordinates of all 10 atoms:
Dy (0.758, 0.250, 0.133)
Dy (0.390, 0.250, 0.868)
Dy (0.574, 0.250, 0.500)
Dy (0.258, 0.750, 0.132)
Dy (0.890, 0.750, 0.867)
Dy (0.074, 0.750, 0.500)
Cu (0.483, 0.750, 0.682)
Cu (0.165, 0.250, 0.318)
Ag (0.665, 0.750, 0.318)
Ag (0.983, 0.250, 0.682)

## B
First-principles (PBE) data for crystalline Dy3CuAg at its relaxed geometry, as listed in the Alexandria database.

Calculated values
The value obtained for the density of states at the Fermi level is 1.121 states/eV/atom. Its density is 8.11 g/cm3.

Cell lengths 3.746, 8.923, 8.930 Å; angles 64.67, 90.00, 90.00 degrees
Fractional coordinates of all 10 atoms:
Dy (0.863, 0.387, 0.823)
Dy (0.863, 0.001, 0.669)
Dy (0.863, 0.617, 0.054)
Dy (0.363, 0.033, 0.085)
Dy (0.863, 0.771, 0.439)
Dy (0.363, 0.356, 0.408)
Cu (0.364, 0.694, 0.246)
Cu (0.364, 0.194, 0.747)
Ag (0.363, 0.694, 0.746)
Ag (0.863, 0.195, 0.247)

Most stable: A. Least stable: B.

## A
First-principles (PBE) data for crystalline DyHoCuAg at its relaxed geometry, as listed in the Alexandria database.

Calculated values
The value obtained for the density of states at the Fermi level is 0.556 states/eV/atom. Its density is 9.22 g/cm3.

Cell lengths 5.027, 5.027, 5.027 Å; angles 60.00, 60.00, 60.00 degrees
Fractional coordinates of all 4 atoms:
Cu (0.000, 0.000, 0.000)
Ho (0.750, 0.750, 0.750)
Ag (0.500, 0.500, 0.500)
Dy (0.250, 0.250, 0.250)

## B
First-principles (PBE) data for crystalline DyHoCuAg at its relaxed geometry, as listed in the Alexandria database.

Calculated values
The value obtained for the density of states at the Fermi level is 0.621 states/eV/atom. Its density is 9.29 g/cm3.

Cell lengths 3.535, 3.535, 7.133 Å; angles 90.00, 90.00, 90.00 degrees
Fractional coordinates of all 4 atoms:
Dy (0.500, 0.500, 0.121)
Ho (0.500, 0.500, 0.593)
Cu (0.000, 0.000, 0.358)
Ag (0.000, 0.000, 0.855)

Most stable: B. Least stable: A.

## A
First-principles (PBE) data for crystalline LaDyCuAg at its relaxed geometry, as listed in the Alexandria database.

Calculated values
The value obtained for the density of states at the Fermi level is 0.657 states/eV/atom. Its density is 8.11 g/cm3.

Cell lengths 3.607, 3.607, 7.441 Å; angles 90.00, 90.00, 90.00 degrees
Fractional coordinates of all 4 atoms:
La (0.000, 0.000, 0.843)
Dy (0.000, 0.000, 0.371)
Cu (0.500, 0.500, 0.580)
Ag (0.500, 0.500, 0.134)

## B
First-principles (PBE) data for crystalline LaDyCuAg at its relaxed geometry, as listed in the Alexandria database.

Calculated values
The value obtained for the density of states at the Fermi level is 1.058 states/eV/atom. Its density is 7.97 g/cm3.

Cell lengths 5.185, 5.185, 5.185 Å; angles 60.00, 60.00, 60.00 degrees
Fractional coordinates of all 4 atoms:
La (0.500, 0.500, 0.500)
Cu (0.250, 0.250, 0.250)
Ag (0.750, 0.750, 0.750)
Dy (0.000, 0.000, 0.000)

Most stable: A. Least stable: B.

## A
First-principles (PBE) data for crystalline SmDyCuAg at its relaxed geometry, as listed in the Alexandria database.

Calculated values
The value obtained for the density of states at the Fermi level is 0.563 states/eV/atom. Its density is 8.67 g/cm3.

Cell lengths 3.577, 3.577, 7.245 Å; angles 90.00, 90.00, 90.00 degrees
Fractional coordinates of all 4 atoms:
Sm (0.500, 0.500, 0.121)
Dy (0.500, 0.500, 0.593)
Cu (0.000, 0.000, 0.369)
Ag (0.000, 0.000, 0.845)

## B
First-principles (PBE) data for crystalline SmDyCuAg at its relaxed geometry, as listed in the Alexandria database.

Calculated values
The value obtained for the density of states at the Fermi level is 0.760 states/eV/atom. Its density is 8.59 g/cm3.

Cell lengths 5.096, 5.096, 5.096 Å; angles 60.00, 60.00, 60.00 degrees
Fractional coordinates of all 4 atoms:
Cu (0.250, 0.250, 0.250)
Ag (0.750, 0.750, 0.750)
Sm (0.000, 0.000, 0.000)
Dy (0.500, 0.500, 0.500)

Most stable: A. Least stable: B.

## A
First-principles (PBE) data for crystalline Er4Cu2Ag at its relaxed geometry, as listed in the Alexandria database.

Calculated values
The value obtained for the density of states at the Fermi level is 0.923 states/eV/atom. Its density is 9.10 g/cm3.

Cell lengths 8.451, 7.731, 7.192 Å; angles 105.72, 111.85, 116.86 degrees
Fractional coordinates of all 14 atoms:
Er (0.780, 0.168, 0.181)
Er (0.193, 0.518, 0.150)
Er (0.968, 0.632, 0.735)
Er (0.788, 0.000, 0.607)
Er (0.435, 0.096, 0.356)
Er (0.343, 0.208, 0.866)
Er (0.515, 0.578, 0.692)
Er (0.905, 0.728, 0.247)
Cu (0.714, 0.316, 0.844)
Cu (0.509, 0.723, 0.092)
Cu (0.592, 0.520, 0.341)
Cu (0.133, 0.390, 0.667)
Ag (0.324, 0.814, 0.634)
Ag (0.051, 0.059, 0.088)

## B
First-principles (PBE) data for crystalline Er4Cu2Ag at its relaxed geometry, as listed in the Alexandria database.

Calculated values
The value obtained for the density of states at the Fermi level is 0.708 states/eV/atom. Its density is 9.06 g/cm3.

Cell lengths 4.910, 4.910, 8.422 Å; angles 73.05, 73.05, 60.00 degrees
Fractional coordinates of all 7 atoms:
Ag (0.000, 0.000, 0.000)
Cu (0.749, 0.749, 0.752)
Cu (0.251, 0.251, 0.248)
Er (0.871, 0.871, 0.386)
Er (0.129, 0.129, 0.614)
Er (0.620, 0.620, 0.140)
Er (0.380, 0.380, 0.860)

Most stable: A. Least stable: B.

## A
First-principles (PBE) data for crystalline PmErCuAg at its relaxed geometry, as listed in the Alexandria database.

Calculated values
The value obtained for the density of states at the Fermi level is 0.540 states/eV/atom. Its density is 8.72 g/cm3.

Cell lengths 3.551, 3.551, 7.302 Å; angles 90.00, 90.00, 90.00 degrees
Fractional coordinates of all 4 atoms:
Pm (0.500, 0.500, 0.120)
Er (0.500, 0.500, 0.593)
Cu (0.000, 0.000, 0.377)
Ag (0.000, 0.000, 0.837)

## B
First-principles (PBE) data for crystalline PmErCuAg at its relaxed geometry, as listed in the Alexandria database.

Calculated values
The value obtained for the density of states at the Fermi level is 0.825 states/eV/atom. Its density is 8.61 g/cm3.

Cell lengths 5.090, 5.090, 5.090 Å; angles 60.00, 60.00, 60.00 degrees
Fractional coordinates of all 4 atoms:
Pm (0.000, 0.000, 0.000)
Cu (0.250, 0.250, 0.250)
Ag (0.750, 0.750, 0.750)
Er (0.500, 0.500, 0.500)

Most stable: A. Least stable: B.

## A
First-principles (PBE) data for crystalline PrErCuAg at its relaxed geometry, as listed in the Alexandria database.

Calculated values
The value obtained for the density of states at the Fermi level is 1.060 states/eV/atom. Its density is 8.33 g/cm3.

Cell lengths 5.132, 5.132, 5.132 Å; angles 60.00, 60.00, 60.00 degrees
Fractional coordinates of all 4 atoms:
Pr (0.500, 0.500, 0.500)
Cu (0.250, 0.250, 0.250)
Ag (0.750, 0.750, 0.750)
Er (0.000, 0.000, 0.000)

## B
First-principles (PBE) data for crystalline PrErCuAg at its relaxed geometry, as listed in the Alexandria database.

Calculated values
The value obtained for the density of states at the Fermi level is 0.530 states/eV/atom. Its density is 8.46 g/cm3.

Cell lengths 3.569, 3.569, 7.390 Å; angles 90.00, 90.00, 90.00 degrees
Fractional coordinates of all 4 atoms:
Pr (0.000, 0.000, 0.844)
Er (0.000, 0.000, 0.371)
Cu (0.500, 0.500, 0.579)
Ag (0.500, 0.500, 0.134)

Most stable: B. Least stable: A.

## A
First-principles (PBE) data for crystalline Cu2AgF4 at its relaxed geometry, as listed in the Alexandria database.

Calculated values
The value obtained for the density of states at the Fermi level is 0.865 states/eV/atom. Its density is 4.17 g/cm3.

Cell lengths 4.512, 4.512, 6.080 Å; angles 90.00, 90.00, 90.00 degrees
Last column: magnetic moment on the atom in μB.
Fractional coordinates of all 7 atoms:
Cu (0.500, 0.000, 0.500)  0.42
Cu (0.000, 0.500, 0.500)  0.42
Ag (0.000, 0.000, 0.000)  0.01
F (0.770, 0.230, 0.697)  0.04
F (0.230, 0.230, 0.303)  0.04
F (0.230, 0.770, 0.697)  0.04
F (0.770, 0.770, 0.303)  0.04

## B
First-principles (PBE) data for crystalline Cu2AgF4 at its relaxed geometry, as listed in the Alexandria database.

Calculated values
The value obtained for the density of states at the Fermi level is 0.570 states/eV/atom. Its density is 5.45 g/cm3.

Cell lengths 6.012, 6.018, 6.739 Å; angles 116.49, 116.45, 89.94 degrees
Last column: magnetic moment on the atom in μB.
Fractional coordinates of all 14 atoms:
Ag (0.750, 0.250, 0.500)  0.01
Ag (0.500, 0.500, 0.000)  0.01
Cu (0.125, 0.875, 0.750)  0.40
Cu (0.625, 0.875, 0.750)  0.39
Cu (0.125, 0.875, 0.250)  0.40
Cu (0.125, 0.375, 0.250)  0.40
F (0.920, 0.834, 0.400)  0.05
F (0.166, 0.520, 0.599)  0.05
F (0.433, 0.079, 0.600)  0.05
F (0.771, 0.183, 0.100)  0.05
F (0.817, 0.671, 0.900)  0.05
F (0.084, 0.230, 0.901)  0.05
F (0.479, 0.567, 0.400)  0.05
F (0.330, 0.916, 0.100)  0.05

Most stable: B. Least stable: A.

## A
First-principles (PBE) data for crystalline CuAgF at its relaxed geometry, as listed in the Alexandria database.

Calculated values
The value obtained for the density of states at the Fermi level is 0.232 states/eV/atom. Its density is 7.84 g/cm3.

Cell lengths 2.782, 2.782, 5.568 Å; angles 104.47, 104.47, 90.00 degrees
Fractional coordinates of all 3 atoms:
Ag (0.945, 0.945, 0.889)
Cu (0.262, 0.262, 0.525)
F (0.643, 0.643, 0.286)

## B
First-principles (PBE) data for crystalline CuAgF at its relaxed geometry, as listed in the Alexandria database.

Calculated values
The value obtained for the density of states at the Fermi level is 0.245 states/eV/atom. Its density is 7.70 g/cm3.

Cell lengths 2.941, 4.015, 4.015 Å; angles 120.00, 90.00, 90.00 degrees
Fractional coordinates of all 3 atoms:
Cu (0.167, 0.333, 0.667)
Ag (0.666, 0.667, 0.333)
F (0.167, 0.000, 0.000)

## C
First-principles (PBE) data for crystalline CuAgF at its relaxed geometry, as listed in the Alexandria database.

Calculated values
The value obtained for the density of states at the Fermi level is 0.160 states/eV/atom. Its density is 7.64 g/cm3.

Cell lengths 2.915, 4.352, 6.689 Å; angles 90.00, 102.59, 90.00 degrees
Fractional coordinates of all 6 atoms:
Ag (0.375, 0.348, 0.750)
Ag (0.625, 0.848, 0.250)
Cu (0.048, 0.349, 0.096)
Cu (0.952, 0.849, 0.904)
F (0.198, 0.344, 0.395)
F (0.802, 0.844, 0.605)

Most stable: C. Least stable: B.

## A
First-principles (PBE) data for crystalline CuAg3F6 at its relaxed geometry, as listed in the Alexandria database.

Calculated values
The value obtained for the density of states at the Fermi level is 0.618 states/eV/atom. Its density is 5.46 g/cm3.

Cell lengths 6.739, 6.739, 6.739 Å; angles 92.75, 92.75, 92.75 degrees
Last column: magnetic moment on the atom in μB.
Fractional coordinates of all 20 atoms:
Cu (0.000, 0.000, 0.000)  0.90
Cu (0.500, 0.500, 0.500)  0.87
Ag (0.055, 0.570, 0.256)  0.15
Ag (0.256, 0.055, 0.570)  0.15
Ag (0.430, 0.744, 0.945)  0.15
Ag (0.570, 0.256, 0.055)  0.15
Ag (0.744, 0.945, 0.430)  0.15
Ag (0.945, 0.430, 0.744)  0.15
F (0.066, 0.725, 0.915)  0.11
F (0.085, 0.934, 0.275)  0.11
F (0.222, 0.412, 0.552)  0.10
F (0.275, 0.085, 0.934)  0.11
F (0.412, 0.552, 0.222)  0.10
F (0.448, 0.778, 0.588)  0.10
F (0.552, 0.222, 0.412)  0.10
F (0.588, 0.448, 0.778)  0.10
F (0.725, 0.915, 0.066)  0.11
F (0.778, 0.588, 0.448)  0.10
F (0.915, 0.066, 0.725)  0.11
F (0.934, 0.275, 0.085)  0.11

## B
First-principles (PBE) data for crystalline CuAg3F6 at its relaxed geometry, as listed in the Alexandria database.

Calculated values
The value obtained for the density of states at the Fermi level is 0.605 states/eV/atom. Its density is 5.89 g/cm3.

Cell lengths 5.795, 5.932, 8.218 Å; angles 90.00, 89.22, 90.00 degrees
Last column: magnetic moment on the atom in μB.
Fractional coordinates of all 20 atoms:
Cu (0.500, 0.500, 0.500)  0.88
Cu (0.000, 0.000, 0.000)  0.88
Ag (0.518, 0.947, 0.753)  0.09
Ag (0.500, 0.500, 0.000)  0.20
Ag (0.482, 0.053, 0.247)  0.09
Ag (0.018, 0.553, 0.253)  0.09
Ag (0.000, 0.000, 0.500)  0.20
Ag (0.982, 0.447, 0.747)  0.09
F (0.719, 0.175, 0.952)  0.10
F (0.663, 0.222, 0.564)  0.11
F (0.607, 0.453, 0.273)  0.10
F (0.393, 0.547, 0.727)  0.10
F (0.337, 0.778, 0.436)  0.11
F (0.281, 0.825, 0.048)  0.10
F (0.219, 0.325, 0.452)  0.10
F (0.163, 0.278, 0.064)  0.11
F (0.107, 0.047, 0.773)  0.10
F (0.893, 0.953, 0.227)  0.10
F (0.837, 0.722, 0.936)  0.11
F (0.781, 0.675, 0.548)  0.10

Most stable: B. Least stable: A.

## A
First-principles (PBE) data for crystalline CuAg3F at its relaxed geometry, as listed in the Alexandria database.

Calculated values
The value obtained for the density of states at the Fermi level is 0.337 states/eV/atom. Its density is 7.14 g/cm3.

Cell lengths 4.554, 4.554, 4.554 Å; angles 90.00, 90.00, 90.00 degrees
Fractional coordinates of all 5 atoms:
Cu (0.500, 0.500, 0.500)
Ag (0.000, 0.500, 0.000)
Ag (0.000, 0.000, 0.500)
Ag (0.500, 0.000, 0.000)
F (0.000, 0.000, 0.000)

## B
First-principles (PBE) data for crystalline CuAg3F at its relaxed geometry, as listed in the Alexandria database.

Calculated values
The value obtained for the density of states at the Fermi level is 0.400 states/eV/atom. Its density is 6.05 g/cm3.

Cell lengths 4.814, 4.814, 4.814 Å; angles 90.00, 90.00, 90.00 degrees
Fractional coordinates of all 5 atoms:
Cu (0.000, 0.000, 0.000)
Ag (0.000, 0.500, 0.000)
Ag (0.000, 0.000, 0.500)
Ag (0.500, 0.000, 0.000)
F (0.500, 0.500, 0.500)

Most stable: A. Least stable: B.